Here is crystalline SrRhW2 at its relaxed geometry from the Alexandria database. Energies are from PBE.

```
data_SrRhW2
_symmetry_space_group_name_H-M 'P m m m'
_symmetry_Int_Tables_number 47
_cell_length_a 3.138
_cell_length_b 4.547
_cell_length_c 5.279
_cell_angle_alpha 90.00
_cell_angle_beta 90.00
_cell_angle_gamma 90.00
loop_
_symmetry_equiv_pos_as_xyz
'x,y,z'
'-x,-y,-z'
'-x,-y,z'
'x,y,-z'
'x,-y,-z'
'-x,y,z'
'-x,y,-z'
'x,-y,z'
loop_
_atom_site_label
_atom_site_fract_x
_atom_site_fract_y
_atom_site_fract_z
Sr1 0.000 0.000 0.000
Rh1 0.500 0.500 0.000
W1 0.000 0.500 0.500
W2 0.500 0.000 0.500
```

Total moment ... 0.00 μB per formula unit
Energy relative to the lowest polymorph listed for this composition ... 0.282 eV per atom
Formation energy ... 0.827 eV per atom
Final energy ... -31.632 eV/f.u.